Record 1
DFT (PBE) results for a relaxed structure of NbPPbCl2.

a = 5.2916 Å, b = 5.2916 Å, c = 5.3698 Å
α = 90.00°, β = 90.00°, γ = 90.00°
With the nearest neighbours (Å) after each atom.
Space group P4/mmm (No. 123)
Unique sites:
1 Nb 0.0000 0.0000 0.0000 (multiplicity 1)  4 P 3.74, 8 Cl 3.77
2 P 0.5000 0.5000 0.0000 (multiplicity 1)  2 Pb 2.68
3 Pb 0.5000 0.5000 0.5000 (multiplicity 1)  4 Cl 2.65, 2 P 2.68
4 Cl 0.0000 0.5000 0.5000 (multiplicity 2)  2 Pb 2.65

## Properties
Raw formation energy ... 0.782 eV per atom
D(E_F) ... 1.448 states/eV/atom


Record 2
DFT (PBE) results for a relaxed structure of Y5Si3.

a = 11.3982 Å, b = 11.3982 Å, c = 5.9382 Å
α = 90.00°, β = 90.00°, γ = 90.00°
With the nearest neighbours (Å) after each atom.
Space group I4/mcm (No. 140)
Unique sites:
1 Y 0.0000 0.5000 0.2500 (multiplicity 4)  4 Si 2.96, 2 Y 2.97
2 Y 0.0830 0.2117 0.0000 (multiplicity 16)  4 Si 2.99-3.13, 1 Y 3.31
3 Si 0.0000 0.0000 0.2500 (multiplicity 4)  2 Si 2.97, 8 Y 2.99
4 Si 0.1592 0.3408 0.5000 (multiplicity 8)  6 Y 2.96-3.13

## Properties
Raw formation energy ... -0.653 eV per atom
D(E_F) ... 0.935 states/eV/atom


Record 3
DFT (PBE) results for a relaxed structure of DyHo4Al5.

a = 3.5701 Å, b = 3.5701 Å, c = 18.0895 Å
α = 90.00°, β = 90.00°, γ = 90.00°
With the nearest neighbours (Å) after each atom.
Space group P4/mmm (No. 123)
Unique sites:
1 Dy 0.0000 0.0000 0.0000 (multiplicity 1)  8 Al 3.12
2 Ho 0.0000 0.0000 0.2009 (multiplicity 2)  8 Al 3.10
3 Ho 0.0000 0.0000 0.4004 (multiplicity 2)  8 Al 3.10
4 Al 0.5000 0.5000 0.1013 (multiplicity 2)  4 Ho 3.10, 4 Dy 3.12
5 Al 0.5000 0.5000 0.3007 (multiplicity 2)  8 Ho 3.10
6 Al 0.5000 0.5000 0.5000 (multiplicity 1)  8 Ho 3.10

## Properties
Raw total energy ... -4.557 eV per atom
D(E_F) ... 0.502 states/eV/atom


Record 4
DFT (PBE) results for a relaxed structure of MnGaRuAu.

a = 6.2186 Å, b = 6.2186 Å, c = 6.2186 Å
α = 90.00°, β = 90.00°, γ = 90.00°
With the nearest neighbours (Å) after each atom.
Space group F-43m (No. 216)
Unique sites:
1 Mn 0.0000 0.0000 0.0000 (multiplicity 4)  4 Ru 2.69, 4 Au 2.69
2 Ga 0.0000 0.0000 0.5000 (multiplicity 4)  4 Ru 2.69, 4 Au 2.69
3 Ru 0.2500 0.2500 0.2500 (multiplicity 4)  4 Mn 2.69, 4 Ga 2.69
4 Au 0.2500 0.2500 0.7500 (multiplicity 4)  4 Mn 2.69, 4 Ga 2.69

## Properties
Raw total energy ... -6.245 eV per atom
D(E_F) ... 0.524 states/eV/atom


Record 5
DFT (PBE) results for a relaxed structure of Ac2ZnSn4.

a = 5.2530 Å, b = 5.2530 Å, c = 16.5282 Å
α = 90.00°, β = 90.00°, γ = 90.00°
With the nearest neighbours (Å) after each atom.
Space group I4/mmm (No. 139)
Unique sites:
1 Ac 0.0000 0.0000 0.1395 (multiplicity 4)  5 Sn 3.32-3.49
2 Zn 0.0000 0.0000 0.5000 (multiplicity 2)  6 Sn 2.63-2.64
3 Sn 0.0000 0.0000 0.3404 (multiplicity 4)  1 Zn 2.64
4 Sn 0.0000 0.5000 0.0000 (multiplicity 4)  2 Zn 2.63

## Properties
Raw total energy ... -3.912 eV per atom
D(E_F) ... 0.483 states/eV/atom


Record 6
DFT (PBE) results for a relaxed structure of BiTe2Pd.

a = 3.9270 Å, b = 3.9270 Å, c = 27.7444 Å
α = 90.00°, β = 90.00°, γ = 120.00°
With the nearest neighbours (Å) after each atom.
Space group R-3m (No. 166, hexagonal axes)
Unique sites:
1 Bi 0.0000 0.0000 0.0000 (multiplicity 3)  2 Te 3.14
2 Te 0.0000 0.0000 0.1131 (multiplicity 6)  3 Pd 2.71
3 Pd 0.0000 0.0000 0.5000 (multiplicity 3)  6 Te 2.71

## Properties
Raw formation energy ... -0.112 eV per atom
D(E_F) ... 0.756 states/eV/atom


Record 7
DFT (PBE) results for a relaxed structure of MgIn3Ni3.

a = 7.8292 Å, b = 7.8292 Å, c = 7.8292 Å
α = 90.00°, β = 90.00°, γ = 90.00°
With the nearest neighbours (Å) after each atom.
Space group P2_13 (No. 198)
Unique sites:
1 Mg 0.0561 0.4439 0.5561 (multiplicity 4)  5 In 2.89-3.14, 6 Ni 2.95-2.99
2 In 0.1256 0.6256 0.8744 (multiplicity 4)  6 Ni 2.67-2.82, 3 Mg 2.92, 1 In 2.95
3 In 0.1568 0.1568 0.1568 (multiplicity 4)  6 Ni 2.63-2.67, 1 Mg 2.89
4 In 0.2124 0.7876 0.2876 (multiplicity 4)  6 Ni 2.69-2.84
5 Ni 0.0154 0.8170 0.5903 (multiplicity 12)  6 In 2.63-2.84, 2 Ni 2.64

## Properties
Raw total energy ... -3.930 eV per atom
D(E_F) ... 0.654 states/eV/atom


Record 8
DFT (PBE) results for a relaxed structure of SbPbI2N.

a = 5.0712 Å, b = 5.0712 Å, c = 5.0415 Å
α = 90.00°, β = 90.00°, γ = 90.00°
With the nearest neighbours (Å) after each atom.
Space group P4/mmm (No. 123)
Unique sites:
1 Sb 0.0000 0.0000 0.0000 (multiplicity 1)  2 N 2.52
2 Pb 0.5000 0.5000 0.0000 (multiplicity 1)  8 I 3.58, 4 Sb 3.59
3 I 0.0000 0.5000 0.5000 (multiplicity 2)  2 N 2.54
4 N 0.0000 0.0000 0.5000 (multiplicity 1)  2 Sb 2.52, 4 I 2.54

## Properties
Raw formation energy ... 0.705 eV per atom
D(E_F) ... 0.827 states/eV/atom


Record 9
DFT (PBE) results for a relaxed structure of CaSi2Ir.

a = 4.0868 Å, b = 4.0868 Å, c = 16.1009 Å
α = 90.00°, β = 90.00°, γ = 120.00°
With the nearest neighbours (Å) after each atom.
Space group R3m (No. 160, hexagonal axes)
Unique sites:
1 Ca 0.0000 0.0000 0.0000 (multiplicity 3)  4 Ir 3.01-3.33, 7 Si 3.02-3.28
2 Si 0.0000 0.0000 0.2040 (multiplicity 3)  3 Ir 2.54, 3 Si 2.74
3 Si 0.0000 0.0000 0.4506 (multiplicity 3)  3 Ir 2.40
4 Ir 0.0000 0.0000 0.8128 (multiplicity 3)  6 Si 2.40-2.54

## Properties
Raw formation energy ... -0.645 eV per atom
D(E_F) ... 0.358 states/eV/atom


Record 10
DFT (PBE) results for a relaxed structure of HfIn2I2.

a = 7.8639 Å, b = 7.8639 Å, c = 5.1853 Å
α = 90.00°, β = 90.00°, γ = 90.00°
With the nearest neighbours (Å) after each atom.
Space group P4/mbm (No. 127)
Unique sites:
1 Hf 0.0000 0.0000 0.0000 (multiplicity 2)  4 In 3.04
2 In 0.1391 0.3609 0.0000 (multiplicity 4)  2 Hf 3.04, 1 In 3.09, 2 I 3.21
3 I 0.1902 0.6902 0.5000 (multiplicity 4)  2 In 3.21

## Properties
Raw formation energy ... 0.310 eV per atom
D(E_F) ... 0.903 states/eV/atom


Record 11
DFT (PBE) results for a relaxed structure of K2YTe.

a = 4.1284 Å, b = 6.2929 Å, c = 14.1068 Å
α = 90.00°, β = 90.00°, γ = 90.00°
With the nearest neighbours (Å) after each atom.
Space group Imm2 (No. 44)
Unique sites:
1 K 0.0000 0.0000 0.0000 (multiplicity 2)  2 Te 3.64, 2 K 4.02
2 K 0.0000 0.5000 0.1772 (multiplicity 2)  4 Te 3.80, 4 K 4.02-4.13, 2 Y 4.13
3 Y 0.0000 0.0000 0.3672 (multiplicity 2)  2 Te 3.00
4 Te 0.0000 0.5000 0.7129 (multiplicity 2)  2 Y 3.00

## Properties
Raw formation energy ... -0.348 eV per atom
D(E_F) ... 0.898 states/eV/atom


Record 12
DFT (PBE) results for a relaxed structure of CaTaH2.

a = 5.2772 Å, b = 5.2772 Å, c = 7.5627 Å
α = 90.00°, β = 90.00°, γ = 90.00°
With the nearest neighbours (Å) after each atom.
Space group I-42d (No. 122)
Unique sites:
1 Ca 0.0000 0.0000 0.0000 (multiplicity 4)  4 H 2.31
2 Ta 0.0000 0.0000 0.5000 (multiplicity 4)  4 H 1.91
3 H 0.1894 0.2500 0.6250 (multiplicity 8)  2 Ta 1.91

## Properties
Raw total energy ... -5.141 eV per atom
D(E_F) ... 0.381 states/eV/atom


Record 13
DFT (PBE) results for a relaxed structure of ThSN.

a = 4.1121 Å, b = 4.1121 Å, c = 25.2398 Å
α = 90.00°, β = 90.00°, γ = 120.00°
With the nearest neighbours (Å) after each atom.
Space group R-3m (No. 166, hexagonal axes)
Unique sites:
1 Th 0.0000 0.0000 0.2256 (multiplicity 6)  4 N 2.33-2.46
2 S 0.0000 0.0000 0.3760 (multiplicity 6)  3 Th 2.89, 3 S 3.21
3 N 0.0000 0.0000 0.1332 (multiplicity 6)  4 Th 2.33-2.46

## Properties
Raw formation energy ... -1.299 eV per atom
D(E_F) ... 1.300 states/eV/atom


Record 14
DFT (PBE) results for a relaxed structure of PaPd.

a = 8.3597 Å, b = 3.1989 Å, c = 6.3972 Å
α = 90.00°, β = 90.91°, γ = 90.00°
With the nearest neighbours (Å) after each atom.
Space group C2/m (No. 12)
Unique sites:
1 Pa 0.1310 0.0000 0.1389 (multiplicity 4)  4 Pd 2.79-3.10, 1 Pa 2.80
2 Pd 0.1460 0.0000 0.6230 (multiplicity 4)  4 Pa 2.79-3.10, 3 Pd 2.85-2.88

## Properties
Raw total energy ... -7.516 eV per atom
D(E_F) ... 1.581 states/eV/atom


Record 15
DFT (PBE) results for a relaxed structure of TbGdMnCd.

a = 7.3694 Å, b = 7.3694 Å, c = 7.3694 Å
α = 90.00°, β = 90.00°, γ = 90.00°
With the nearest neighbours (Å) after each atom.
Space group F-43m (No. 216)
Unique sites:
1 Tb 0.0000 0.0000 0.0000 (multiplicity 4)  4 Cd 3.19, 4 Mn 3.19
2 Gd 0.0000 0.0000 0.5000 (multiplicity 4)  4 Mn 3.19, 4 Cd 3.19
3 Mn 0.2500 0.2500 0.2500 (multiplicity 4)  4 Gd 3.19, 4 Tb 3.19
4 Cd 0.2500 0.2500 0.7500 (multiplicity 4)  4 Gd 3.19, 4 Tb 3.19

## Properties
Raw total energy ... -7.189 eV per atom
D(E_F) ... 1.389 states/eV/atom


Record 16
DFT (PBE) results for a relaxed structure of Mg2Zn2Ag.

a = 6.8235 Å, b = 11.2702 Å, c = 5.2688 Å
α = 90.00°, β = 90.00°, γ = 90.00°
With the nearest neighbours (Å) after each atom.
Space group Ibam (No. 72)
Unique sites:
1 Mg 0.1568 0.0919 0.0000 (multiplicity 8)  4 Zn 2.72-3.01, 2 Ag 2.88, 1 Mg 2.98
2 Zn 0.2362 0.3288 0.0000 (multiplicity 8)  4 Mg 2.72-3.01, 2 Ag 2.84
3 Ag 0.0000 0.5000 0.2500 (multiplicity 4)  2 Ag 2.63, 4 Zn 2.84, 4 Mg 2.88

## Properties
Raw total energy ... -1.658 eV per atom
D(E_F) ... 0.309 states/eV/atom


Record 17
DFT (PBE) results for a relaxed structure of Sm6Dy3Ho2Sc.

a = 6.1791 Å, b = 10.6991 Å, c = 11.7173 Å
α = 90.00°, β = 100.09°, γ = 90.00°
With the nearest neighbours (Å) after each atom.
Space group C2/m (No. 12)
Unique sites:
1 Sm 0.2474 0.1653 0.2470 (multiplicity 8)  1 Sc 3.51, 2 Ho 3.52, 6 Sm 3.54-3.58, 3 Dy 3.57-3.58
2 Sm 0.2488 0.0000 0.7527 (multiplicity 4)  1 Sc 3.51, 2 Ho 3.52, 6 Sm 3.54-3.58, 3 Dy 3.56-3.58
3 Dy 0.0000 0.1666 0.5000 (multiplicity 4)  6 Dy 3.56-3.57, 6 Sm 3.56-3.58
4 Dy 0.0000 0.5000 0.5000 (multiplicity 2)  6 Dy 3.57, 6 Sm 3.57-3.58
5 Ho 0.0000 0.3334 0.0000 (multiplicity 4)  6 Sm 3.52, 3 Ho 3.56-3.57, 3 Sc 3.57
6 Sc 0.0000 0.0000 0.0000 (multiplicity 2)  6 Sm 3.51, 6 Ho 3.57

## Properties
Raw total energy ... -4.776 eV per atom
D(E_F) ... 1.208 states/eV/atom


Record 18
DFT (PBE) results for a relaxed structure of Mn2FeRh9.

a = 3.8070 Å, b = 3.8070 Å, c = 11.4120 Å
α = 90.00°, β = 90.00°, γ = 90.00°
With the nearest neighbours (Å) after each atom.
Space group P4/mmm (No. 123)
Unique sites:
1 Mn 0.0000 0.0000 0.1656 (multiplicity 2)  12 Rh 2.68-2.70
2 Fe 0.0000 0.0000 0.5000 (multiplicity 1)  12 Rh 2.69
3 Rh 0.0000 0.5000 0.0000 (multiplicity 2)  4 Mn 2.68, 8 Rh 2.69
4 Rh 0.0000 0.5000 0.3338 (multiplicity 4)  2 Fe 2.69, 8 Rh 2.69, 2 Mn 2.70
5 Rh 0.5000 0.5000 0.1668 (multiplicity 2)  8 Rh 2.69, 4 Mn 2.69
6 Rh 0.5000 0.5000 0.5000 (multiplicity 1)  8 Rh 2.69, 4 Fe 2.69

## Properties
Raw total energy ... -7.837 eV per atom
D(E_F) ... 1.369 states/eV/atom


Record 19
DFT (PBE) results for a relaxed structure of K2SrRu.

a = 3.5916 Å, b = 3.5916 Å, c = 12.3821 Å
α = 90.00°, β = 90.00°, γ = 90.00°
With the nearest neighbours (Å) after each atom.
Space group P4/mmm (No. 123)
Unique sites:
1 K 0.0000 0.0000 0.1849 (multiplicity 2)  4 Ru 3.42, 4 K 3.59
2 Sr 0.5000 0.5000 0.5000 (multiplicity 1)  4 Sr 3.59
3 Ru 0.5000 0.5000 0.0000 (multiplicity 1)  8 K 3.42, 4 Ru 3.59

## Properties
Raw total energy ... -2.254 eV per atom
D(E_F) ... 0.999 states/eV/atom


Record 20
DFT (PBE) results for a relaxed structure of TmGaPb2S5.

a = 3.8956 Å, b = 17.6968 Å, c = 12.7891 Å
α = 90.00°, β = 90.00°, γ = 90.00°
With the nearest neighbours (Å) after each atom.
Space group Cmc2_1 (No. 36)
Unique sites:
1 Tm 0.0000 0.1996 0.0000 (multiplicity 4)  6 S 2.66-2.81
2 Ga 0.0000 0.4455 0.3999 (multiplicity 4)  4 S 2.24-2.37
3 Pb 0.0000 0.1236 0.2968 (multiplicity 4)  6 S 2.86-3.15
4 Pb 0.0000 0.1317 0.6418 (multiplicity 4)  3 S 2.80-2.89
5 S 0.0000 0.0407 0.0033 (multiplicity 4)  2 Ga 2.37
6 S 0.0000 0.2952 0.6448 (multiplicity 4)  2 Tm 2.69, 1 Pb 2.89
7 S 0.0000 0.3181 0.3537 (multiplicity 4)  1 Ga 2.33
8 S 0.0000 0.3494 0.9864 (multiplicity 4)  1 Tm 2.66, 2 Pb 2.80
9 S 0.0000 0.4897 0.7491 (multiplicity 4)  1 Ga 2.24

## Properties
Raw formation energy ... -1.006 eV per atom
D(E_F) ... 0.000 states/eV/atom


Record 21
DFT (PBE) results for a relaxed structure of La2NiSe.

a = 4.0632 Å, b = 23.4734 Å, c = 4.4204 Å
α = 90.00°, β = 90.00°, γ = 90.00°
With the nearest neighbours (Å) after each atom.
Space group Cmcm (No. 63)
Unique sites:
1 La 0.0000 0.0598 0.2500 (multiplicity 4)  6 Ni 2.97-3.07, 1 Se 3.05
2 La 0.0000 0.3187 0.2500 (multiplicity 4)  5 Se 3.01-3.03
3 Ni 0.0000 0.4677 0.2500 (multiplicity 4)  2 Ni 2.68, 2 La 2.97
4 Se 0.0000 0.1896 0.2500 (multiplicity 4)  6 La 3.01-3.05

## Properties
Raw formation energy ... -1.103 eV per atom
D(E_F) ... 0.650 states/eV/atom


Record 22
DFT (PBE) results for a relaxed structure of Rb2ThCrN4.

a = 6.7657 Å, b = 8.1900 Å, c = 5.7574 Å
α = 90.00°, β = 90.00°, γ = 90.00°
With the nearest neighbours (Å) after each atom.
Space group Pmn2_1 (No. 31)
Unique sites:
1 Rb 0.2414 0.1336 0.0000 (multiplicity 4)  2 N 2.68-2.86
2 Th 0.0000 0.4082 0.4737 (multiplicity 2)  4 N 2.21-2.39
3 Cr 0.0000 0.6581 0.9565 (multiplicity 2)  4 N 1.73-1.78
4 N 0.0000 0.4571 0.0640 (multiplicity 2)  1 Cr 1.76
5 N 0.0000 0.6450 0.6563 (multiplicity 2)  1 Cr 1.73
6 N 0.2239 0.7597 0.0296 (multiplicity 4)  1 Cr 1.78

## Properties
Raw formation energy ... -0.573 eV per atom


Record 23
DFT (PBE) results for a relaxed structure of Ba4AlAg3.

a = 4.8457 Å, b = 4.9383 Å, c = 12.5201 Å
α = 90.00°, β = 90.00°, γ = 90.00°
With the nearest neighbours (Å) after each atom.
Space group Pmm2 (No. 25)
Unique sites:
1 Ba 0.0000 0.0000 0.0000 (multiplicity 1)  6 Ag 3.55-3.59, 1 Al 3.77
2 Ba 0.0000 0.5000 0.2800 (multiplicity 1)  7 Ag 3.51-3.88
3 Ba 0.5000 0.0000 0.5000 (multiplicity 1)  2 Al 3.47, 5 Ag 3.64-3.66
4 Ba 0.5000 0.5000 0.7832 (multiplicity 1)  3 Ag 3.42-3.68, 4 Al 3.62
5 Al 0.0000 0.0000 0.6985 (multiplicity 1)  2 Ag 2.82
6 Ag 0.0000 0.5000 0.5900 (multiplicity 1)  2 Al 2.82
7 Ag 0.5000 0.0000 0.2076 (multiplicity 1)  2 Ag 2.96
8 Ag 0.5000 0.5000 0.0773 (multiplicity 1)  2 Ag 2.96

## Properties
Raw total energy ... -2.715 eV per atom
D(E_F) ... 0.629 states/eV/atom


Record 24
DFT (PBE) results for a relaxed structure of Zn2CoMo.

a = 3.7344 Å, b = 3.7344 Å, c = 3.9496 Å
α = 90.00°, β = 90.00°, γ = 90.00°
With the nearest neighbours (Å) after each atom.
Space group P4/mmm (No. 123)
Unique sites:
1 Zn 0.0000 0.5000 0.0000 (multiplicity 2)  4 Zn 2.64, 4 Mo 2.72, 4 Co 2.72
2 Co 0.0000 0.0000 0.5000 (multiplicity 1)  4 Mo 2.64, 8 Zn 2.72
3 Mo 0.5000 0.5000 0.5000 (multiplicity 1)  4 Co 2.64, 8 Zn 2.72

## Properties
Raw total energy ... -4.980 eV per atom
D(E_F) ... 0.992 states/eV/atom